Record 1
PmTh5: optimized geometry, PBE.

Properties
E_form = 18 kJ/mol of formula units
spin magnetization = 0.00 μB/atom

Cell: 3.5910 3.5910 15.1483 Å, 90.00 90.00 90.00°
Fractional coordinates of all 6 atoms:
Pm (0.5000, 0.5000, 0.5000)
Th (0.0000, 0.0000, 0.6721)
Th (0.5000, 0.5000, 0.8353)
Th (0.0000, 0.0000, 0.0000)
Th (0.5000, 0.5000, 0.1647)
Th (0.0000, 0.0000, 0.3279)

Record 2
PmTh5: optimized geometry, PBE.

Properties
E_form = 71 kJ/mol of formula units
spin magnetization = 0.00 μB/atom

Cell: 3.5829 6.0418 9.5069 Å, 108.53 90.00 90.00°
Fractional coordinates of all 6 atoms:
Th (0.0000, 0.6673, 0.3346)
Th (0.0000, 0.3327, 0.6654)
Th (0.5000, 0.5000, 0.0000)
Th (0.5000, 0.1686, 0.3372)
Th (0.5000, 0.8314, 0.6628)
Pm (0.0000, 0.0000, 0.0000)

Record 3
Pm2Th: optimized geometry, PBE.

Properties
E_form = 9 kJ/mol of formula units
spin magnetization = 0.00 μB/atom

Cell: 5.1121 5.1335 8.1247 Å, 108.42 90.00 90.00°
Fractional coordinates of all 6 atoms:
Pm (0.7500, 0.4086, 0.3173)
Pm (0.2500, 0.5914, 0.6827)
Pm (0.7500, 0.0913, 0.6827)
Pm (0.2500, 0.9087, 0.3173)
Th (0.7500, 0.7500, 0.0000)
Th (0.2500, 0.2500, 0.0000)

Record 4
Pm13Th3: optimized geometry, PBE.

Properties
E_form = 82 kJ/mol of formula units
spin magnetization = 0.00 μB/atom

Cell: 7.2713 8.6772 8.6772 Å, 93.31 90.00 90.00°
Fractional coordinates of all 16 atoms:
Pm (0.7525, 0.9584, 0.5440)
Pm (0.7522, 0.5405, 0.4595)
Pm (0.7525, 0.4560, 0.0416)
Pm (0.0000, 0.7036, 0.7923)
Pm (0.0000, 0.2077, 0.2964)
Pm (0.0000, 0.8005, 0.1995)
Pm (0.2475, 0.9584, 0.5440)
Pm (0.2478, 0.5405, 0.4595)
Pm (0.2475, 0.4560, 0.0416)
Pm (0.5000, 0.2847, 0.7153)
Pm (0.5000, 0.7147, 0.7929)
Pm (0.5000, 0.2071, 0.2853)
Pm (0.5000, 0.7975, 0.2025)
Th (0.7566, 0.0452, 0.9548)
Th (0.0000, 0.2838, 0.7162)
Th (0.2434, 0.0452, 0.9548)

Record 5
PmTh8: optimized geometry, PBE.

Properties
E_form = 96 kJ/mol of formula units
spin magnetization = 0.00 μB/atom

Cell: 3.5743 9.2095 9.2095 Å, 87.84 78.81 78.81°
Fractional coordinates of all 9 atoms:
Pm (0.0000, 0.0000, 0.0000)
Th (0.6694, 0.0000, 0.6613)
Th (0.3306, 0.0000, 0.3387)
Th (0.3332, 0.6668, 0.6668)
Th (0.6694, 0.6613, 0.0000)
Th (0.0000, 0.6668, 0.3332)
Th (0.3306, 0.3387, 0.0000)
Th (0.6668, 0.3332, 0.3332)
Th (0.0000, 0.3332, 0.6668)

Record 6
Pm2Th3: optimized geometry, PBE.

Properties
E_form = 10 kJ/mol of formula units
spin magnetization = 0.00 μB/atom

Cell: 3.5979 3.5979 14.8618 Å, 83.05 83.05 60.00°
Fractional coordinates of all 5 atoms:
Pm (0.2978, 0.2978, 0.1066)
Pm (0.7022, 0.7022, 0.8934)
Th (0.1017, 0.1017, 0.6950)
Th (0.5000, 0.5000, 0.5000)
Th (0.8983, 0.8983, 0.3050)

Record 7
PmTh: optimized geometry, PBE.

Properties
E_form = 40 kJ/mol of formula units
spin magnetization = 0.00 μB/atom

Cell: 4.0520 4.0520 4.0520 Å, 90.00 90.00 90.00°
Fractional coordinates of all 2 atoms:
Th (0.0000, 0.0000, 0.0000)
Pm (0.5000, 0.5000, 0.5000)

Record 8
Pm2Th3: optimized geometry, PBE.

Properties
E_form = 167 kJ/mol of formula units
spin magnetization = 0.00 μB/atom

Cell: 9.8761 9.8761 6.9153 Å, 44.43 44.43 60.00°
Fractional coordinates of all 10 atoms:
Th (0.0927, 0.7500, 0.7500)
Th (0.7500, 0.4073, 0.7500)
Th (0.4073, 0.0927, 0.7500)
Th (0.2500, 0.5927, 0.2500)
Th (0.5927, 0.9073, 0.2500)
Th (0.9073, 0.2500, 0.2500)
Pm (0.8723, 0.8723, 0.3832)
Pm (0.3723, 0.3723, 0.8832)
Pm (0.1277, 0.1277, 0.6168)
Pm (0.6277, 0.6277, 0.1168)

Record 9
Pm5Th3: optimized geometry, PBE.

Properties
E_form = 34 kJ/mol of formula units
spin magnetization = 0.00 μB/atom

Cell: 3.6220 3.6220 20.5564 Å, 90.00 90.00 90.00°
Fractional coordinates of all 8 atoms:
Pm (0.0000, 0.0000, 0.2442)
Pm (0.5000, 0.5000, 0.6187)
Pm (0.5000, 0.5000, 0.3813)
Pm (0.0000, 0.0000, 0.7558)
Pm (0.0000, 0.0000, 0.0000)
Th (0.5000, 0.5000, 0.1247)
Th (0.5000, 0.5000, 0.8753)
Th (0.0000, 0.0000, 0.5000)

Record 10
PmTh8: optimized geometry, PBE.

Properties
E_form = 25 kJ/mol of formula units
spin magnetization = 0.00 μB/atom

Cell: 5.0492 7.9926 7.9926 Å, 84.27 71.59 71.59°
Fractional coordinates of all 9 atoms:
Pm (0.0000, 0.0000, 0.0000)
Th (0.6681, 0.0000, 0.6638)
Th (0.3319, 0.0000, 0.3362)
Th (0.0000, 0.3337, 0.6663)
Th (0.3319, 0.3362, 0.0000)
Th (0.6663, 0.3337, 0.3337)
Th (0.6681, 0.6638, 0.0000)
Th (0.0000, 0.6663, 0.3337)
Th (0.3337, 0.6663, 0.6663)

Record 11
Pm6Th: optimized geometry, PBE.

Properties
E_form = 895 kJ/mol of formula units
spin magnetization = 0.00 μB/atom

Cell: 7.0026 7.0026 7.0026 Å, 109.47 109.47 109.47°
Fractional coordinates of all 7 atoms:
Pm (0.2500, 0.7500, 0.5000)
Pm (0.5000, 0.7500, 0.2500)
Pm (0.2500, 0.5000, 0.7500)
Pm (0.7500, 0.2500, 0.5000)
Pm (0.5000, 0.2500, 0.7500)
Pm (0.7500, 0.5000, 0.2500)
Th (0.0000, 0.0000, 0.0000)

Record 12
PmTh2: optimized geometry, PBE.

Properties
E_form = 10 kJ/mol of formula units
spin magnetization = 0.00 μB/atom

Cell: 3.5930 3.5930 26.3654 Å, 90.00 90.00 120.00°
Fractional coordinates of all 9 atoms:
Pm (0.0000, 0.0000, 0.0000)
Pm (0.3333, 0.6667, 0.2225)
Pm (0.6667, 0.3333, 0.7775)
Th (0.0000, 0.0000, 0.3361)
Th (0.0000, 0.0000, 0.6639)
Th (0.3333, 0.6667, 0.5550)
Th (0.6667, 0.3333, 0.1114)
Th (0.3333, 0.6667, 0.8886)
Th (0.6667, 0.3333, 0.4450)

What did we get for N(E_F)? Answer: 9.23; 11.31; 7.94; 27.79; 16.07; 7.59; 3.89; 15.97; 11.08; 12.92; 10.95; 13.48 states/eV/cell, in the order shown.